Computed, not measured: a relaxed structure of KRe2Si at the GGA-PBEsol level of DFT.

```
KRe2Si
1.0
2.601 0.000 0.053
0.000 4.635 0.000
0.113 0.000 6.648
K Re Si
1 2 1
Cartesian
0.056 2.317 3.324
1.723 0.000 5.554
0.990 0.000 1.147
1.300 2.317 0.027
```

Computed properties:
Symmetry ... P2/m, No. 10
N(E_F) ... 2.080 states/eV/cell
E ... -7.358 eV/atom
Size of the total moment ... 0.000 μB/cell